Density functional theory data (SCAN) for a crystal of YReW2 relaxed with PBEsol.

Results
- ΔE_f (eV per atom) = 0.444
- electronic total energy (eV per atom) = -59.14
- volume (Å³ per atom) = 17.1
- symmetry = P2/m, No. 10
- ΔE to the lowest computed polymorph (meV per atom) = 102

Geometry as extended XYZ:
```
4
Lattice="2.828 0.000 0.000 0.000 4.548 0.000 -1.019 0.000 5.306" Properties=species:S:1:pos:R:3 pbc="T T T"
Y 0.000 0.000 0.000
Re 0.905 0.000 2.653
W -0.006 2.274 3.907
W 1.815 2.274 1.400
```